No. 1
This record from Alexandria describes a relaxed structure of La2PmCrN4. The functional is PBE.

The value obtained for the total DFT energy (no corrections) is -8.200 eV/atom.

The structure belongs to space group Cmcm (No. 63); the cell edges are 3.5014, 11.8623 and 12.5131 Å and the angles 90.00°, 90.00° and 90.00°. The distinct sites, in fractional coordinates, are La at (0.0000, 0.1341, 0.0420), Pm at (0.0000, 0.3902, 0.2500), Cr at (0.0000, 0.3321, 0.7500), N at (0.0000, 0.0890, 0.2500), N at (0.0000, 0.2249, 0.6420) and N at (0.0000, 0.5000, 0.0000).

***

No. 2
This record from Alexandria describes a relaxed structure of La3Pr4CrN8. The functional is PBE.

The value obtained for the total DFT energy (no corrections) is -7.911 eV/atom.

The structure belongs to space group C2/m (No. 12); the cell edges are 12.6331, 7.2902 and 7.2974 Å and the angles 90.00°, 125.19° and 90.00°. The distinct sites, in fractional coordinates, are La at (0.0000, 0.0000, 0.0000), La at (0.2500, 0.2500, 0.0000), Pr at (0.0000, 0.0000, 0.5000), Pr at (0.0000, 0.5000, 0.5000), Pr at (0.2500, 0.2500, 0.5000), Cr at (0.0000, 0.5000, 0.0000), N at (0.0005, 0.2564, 0.2451), N at (0.2458, 0.5000, 0.2468) and N at (0.2491, 0.5000, 0.7473).

***

No. 3
This record from Alexandria describes a relaxed structure of LaPr2CrN4. The functional is PBE.

The value obtained for the total DFT energy (no corrections) is -8.208 eV/atom.

The structure belongs to space group Cmcm (No. 63); the cell edges are 3.5319, 11.9960 and 12.2652 Å and the angles 90.00°, 90.00° and 90.00°. The distinct sites, in fractional coordinates, are La at (0.0000, 0.0988, 0.2500), Pr at (0.0000, 0.3675, 0.0434), Cr at (0.0000, 0.1718, 0.7500), N at (0.0000, 0.0000, 0.0000), N at (0.0000, 0.2708, 0.6373) and N at (0.0000, 0.4098, 0.2500).

***

No. 4
This record from Alexandria describes a relaxed structure of La2CrPtN. The functional is PBE.

The value obtained for the total DFT energy (no corrections) is -7.615 eV/atom.

The structure belongs to space group P4/mmm (No. 123); the cell edges are 5.2291, 5.2291 and 3.8062 Å and the angles 90.00°, 90.00° and 90.00°. The distinct sites, in fractional coordinates, are La at (0.0000, 0.5000, 0.0000), Cr at (0.0000, 0.0000, 0.5000), Pt at (0.5000, 0.5000, 0.5000) and N at (0.0000, 0.0000, 0.0000).

***

No. 5
This record from Alexandria describes a relaxed structure of LaPuCrN3. The functional is PBE.

The value obtained for the total DFT energy (no corrections) is -9.965 eV/atom.

The structure belongs to space group P2_1/m (No. 11); the cell edges are 7.4452, 3.4561 and 7.4469 Å and the angles 90.00°, 98.99° and 90.00°. The distinct sites, in fractional coordinates, are La at (0.1856, 0.2500, 0.1749), Pu at (0.1731, 0.2500, 0.6392), Cr at (0.4062, 0.7500, 0.9147), N at (0.1330, 0.7500, 0.4177), N at (0.1552, 0.7500, 0.8702) and N at (0.4882, 0.2500, 0.8385).

***

No. 6
This record from Alexandria describes a relaxed structure of LaPu2CrN4. The functional is PBE.

The value obtained for the total DFT energy (no corrections) is -10.655 eV/atom.

The structure belongs to space group Cmcm (No. 63); the cell edges are 3.4342, 11.6577 and 11.6439 Å and the angles 90.00°, 90.00° and 90.00°. The distinct sites, in fractional coordinates, are La at (0.0000, 0.0904, 0.2500), Pu at (0.0000, 0.3680, 0.0476), Cr at (0.0000, 0.1674, 0.7500), N at (0.0000, 0.0000, 0.0000), N at (0.0000, 0.2590, 0.6204) and N at (0.0000, 0.4238, 0.2500).

***

No. 7
This record from Alexandria describes a relaxed structure of RbLa2Cr2N6. The functional is PBE.

The value obtained for the total DFT energy (no corrections) is -7.843 eV/atom.

The structure belongs to space group C2/m (No. 12); the cell edges are 11.2343, 6.9021 and 7.0057 Å and the angles 90.00°, 121.93° and 90.00°. The distinct sites, in fractional coordinates, are Rb at (0.0000, 0.0000, 0.0000), La at (0.1857, 0.5000, 0.2959), Cr at (0.1169, 0.5000, 0.6832), N at (0.0760, 0.5000, 0.8869) and N at (0.1857, 0.3010, 0.6350).

***

No. 8
This record from Alexandria describes a relaxed structure of LaCrSN2. The functional is PBE.

Its energy above the most stable polymorph in this dataset is 0.00 eV per formula unit.

The structure belongs to space group P4/mmm (No. 123); the cell edges are 3.9087, 3.9087 and 4.6824 Å and the angles 90.00°, 90.00° and 90.00°. The distinct sites, in fractional coordinates, are La at (0.0000, 0.0000, 0.0000), Cr at (0.5000, 0.5000, 0.5000), S at (0.5000, 0.5000, 0.0000) and N at (0.0000, 0.5000, 0.5000).

***

Result set for total moment: 2.169, 2.832, 2.052, 2.688, 5.016, 8.516, 1.034, 0.692 μB per formula unit, one per record in the order listed.